[1]
VASP calculation (PBE) on a relaxed structure of ErThBeAl.

Summary:
Size of the total moment ... 0.00 μB/f.u.
Density of states at the Fermi level ... 4.190 states/eV/cell
Formation energy ... -0.063 eV/atom
VASP energy ... -4.93 eV per atom

a = 7.126 Å, b = 7.126 Å, c = 7.126 Å
α = 90.00°, β = 90.00°, γ = 90.00°
Space group F-43m (No. 216)
Unique sites:
Er1 0.000 0.000 0.000 x4
Th1 0.000 0.000 0.500 x4
Be1 0.250 0.250 0.250 x4
Al1 0.250 0.250 0.750 x4

[2]
VASP calculation (PBE) on a relaxed structure of ErBeAlZn6.

Summary:
Size of the total moment ... 0.00 μB/f.u.
Density of states at the Fermi level ... 19.880 states/eV/cell
Formation energy ... 0.048 eV/atom
VASP energy ... -2.14 eV per atom

a = 6.556 Å, b = 8.561 Å, c = 10.951 Å
α = 90.00°, β = 90.00°, γ = 90.00°
Space group Imma (No. 74)
Unique sites:
Er1 0.000 0.250 0.201 x4
Be1 0.000 0.000 0.000 x4
Al1 0.250 0.250 0.750 x4
Zn1 0.000 0.250 0.507 x4
Zn2 0.000 0.250 0.932 x4
Zn3 0.200 0.010 0.378 x16

[3]
VASP calculation (PBE) on a relaxed structure of ErZrBeAl.

Summary:
Size of the total moment ... 0.00 μB/f.u.
Density of states at the Fermi level ... 6.984 states/eV/cell
Formation energy ... -0.133 eV/atom
VASP energy ... -5.28 eV per atom

a = 6.752 Å, b = 6.752 Å, c = 6.752 Å
α = 90.00°, β = 90.00°, γ = 90.00°
Space group F-43m (No. 216)
Unique sites:
Er1 0.000 0.000 0.000 x4
Zr1 0.000 0.000 0.500 x4
Be1 0.250 0.250 0.250 x4
Al1 0.250 0.250 0.750 x4